(1)
# AcMg10Pd2 (GGA-PBE, optimized geometry)
# - crystal system = orthorhombic
# - formation energy (kcal/mol of atoms) = -6.24
data_AcMg10Pd2
_space_group_name_H-M_alt 'F m m m'
_space_group_IT_number 69
_space_group_name_Hall '-F 2 2'
_cell_length_a 5.7496
_cell_length_b 13.8583
_cell_length_c 14.7797
_cell_angle_alpha 90.00
_cell_angle_beta 90.00
_cell_angle_gamma 90.00
loop_
_atom_site_label
_atom_site_type_symbol
_atom_site_fract_x
_atom_site_fract_y
_atom_site_fract_z
Ac1 Ac 0.0000 0.0000 0.0000
Mg1 Mg 0.0000 0.1041 0.3796
Mg2 Mg 0.0000 0.1608 0.1825
Mg3 Mg 0.2500 0.2500 0.0000
Pd1 Pd 0.2500 0.0000 0.2500

---

(2)
# Ac12MgPd6 (GGA-PBE, optimized geometry)
# - crystal system = cubic
# - formation energy (kcal/mol of atoms) = -11.75
data_Ac12MgPd6
_space_group_name_H-M_alt 'I m -3'
_space_group_IT_number 204
_space_group_name_Hall '-I 2 2 3'
_cell_length_a 10.9753
_cell_length_b 10.9753
_cell_length_c 10.9753
_cell_angle_alpha 90.00
_cell_angle_beta 90.00
_cell_angle_gamma 90.00
loop_
_atom_site_label
_atom_site_type_symbol
_atom_site_fract_x
_atom_site_fract_y
_atom_site_fract_z
Ac1 Ac 0.0000 0.1822 0.3069
Mg1 Mg 0.0000 0.0000 0.0000
Pd1 Pd 0.0000 0.3708 0.5000

---

(3)
# Ac6MgPd2 (GGA-PBE, optimized geometry)
# - crystal system = orthorhombic
# - formation energy (kcal/mol of atoms) = -8.40
data_Ac6MgPd2
_space_group_name_H-M_alt 'I m m m'
_space_group_IT_number 71
_space_group_name_Hall '-I 2 2'
_cell_length_a 10.3515
_cell_length_b 10.8326
_cell_length_c 11.4732
_cell_angle_alpha 90.00
_cell_angle_beta 90.00
_cell_angle_gamma 90.00
loop_
_atom_site_label
_atom_site_type_symbol
_atom_site_fract_x
_atom_site_fract_y
_atom_site_fract_z
Ac1 Ac 0.0000 0.1916 0.2385
Ac2 Ac 0.1885 0.5000 0.1722
Ac3 Ac 0.2099 0.3224 0.5000
Mg1 Mg 0.0000 0.0000 0.0000
Mg2 Mg 0.0000 0.0000 0.5000
Pd1 Pd 0.0000 0.3282 0.0000
Pd2 Pd 0.0000 0.5000 0.3724

---

(4)
# AcPrMgPd (GGA-PBE, optimized geometry)
# - crystal system = cubic
# - formation energy (kcal/mol of atoms) = -6.61
data_AcPrMgPd
_space_group_name_H-M_alt 'F -4 3 m'
_space_group_IT_number 216
_space_group_name_Hall 'F -4 2 3'
_cell_length_a 7.7369
_cell_length_b 7.7369
_cell_length_c 7.7369
_cell_angle_alpha 90.00
_cell_angle_beta 90.00
_cell_angle_gamma 90.00
loop_
_atom_site_label
_atom_site_type_symbol
_atom_site_fract_x
_atom_site_fract_y
_atom_site_fract_z
Ac1 Ac 0.0000 0.0000 0.0000
Pr1 Pr 0.0000 0.0000 0.5000
Mg1 Mg 0.2500 0.2500 0.7500
Pd1 Pd 0.2500 0.2500 0.2500

---

(5)
# Ac2MgSb3Pd4 (GGA-PBE, optimized geometry)
# - crystal system = tetragonal
# - final energy (eV per atom) = -5.198
data_Ac2MgSb3Pd4
_space_group_name_H-M_alt 'P -4 m 2'
_space_group_IT_number 115
_space_group_name_Hall 'P -4 -2'
_cell_length_a 4.6395
_cell_length_b 4.6395
_cell_length_c 10.9505
_cell_angle_alpha 90.00
_cell_angle_beta 90.00
_cell_angle_gamma 90.00
loop_
_atom_site_label
_atom_site_type_symbol
_atom_site_fract_x
_atom_site_fract_y
_atom_site_fract_z
Ac1 Ac 0.0000 0.5000 0.2361
Mg1 Mg 0.0000 0.0000 0.5000
Sb1 Sb 0.0000 0.5000 0.8687
Sb2 Sb 0.5000 0.5000 0.5000
Pd1 Pd 0.0000 0.0000 0.0000
Pd2 Pd 0.0000 0.5000 0.6266
Pd3 Pd 0.5000 0.5000 0.0000

---

(6)
# AcMgSb2Pd5 (GGA-PBE, optimized geometry)
# - crystal system = tetragonal
# - final energy (eV per atom) = -4.925
data_AcMgSb2Pd5
_space_group_name_H-M_alt 'P 4/m m m'
_space_group_IT_number 123
_space_group_name_Hall '-P 4 2'
_cell_length_a 4.8545
_cell_length_b 4.8545
_cell_length_c 8.4167
_cell_angle_alpha 90.00
_cell_angle_beta 90.00
_cell_angle_gamma 90.00
loop_
_atom_site_label
_atom_site_type_symbol
_atom_site_fract_x
_atom_site_fract_y
_atom_site_fract_z
Ac1 Ac 0.0000 0.0000 0.0000
Mg1 Mg 0.0000 0.0000 0.5000
Sb1 Sb 0.5000 0.5000 0.3324
Pd1 Pd 0.0000 0.5000 0.2267
Pd2 Pd 0.5000 0.5000 0.0000